Entry 1:
Here is a crystal of CaFe2Ni relaxed with PBEsol from Alexandria. Energies are from meta-GGA SCAN.

```
CaFe2Ni
1.0
2.993 0.000 0.000
0.000 2.993 0.000
0.000 0.000 6.578
Ca Fe Ni
1 2 1
Direct
0.000 0.000 0.000 Ca
0.000 0.000 0.500 Fe
0.500 0.500 0.325 Fe
0.500 0.500 0.694 Ni
```

Values from the calculation:
final energy: -1.1202 Ry per atom
SG: P4mm, No. 99
DFT formation energy: 0.28 eV per atom

Entry 2:
Here is a crystal of LaCl relaxed with PBEsol from Alexandria. Energies are from meta-GGA SCAN.

```
LaCl
1.0
3.658 0.000 0.000
-1.829 3.168 0.000
0.000 0.000 12.334
La Cl
3 3
Direct
0.000 0.000 0.000 La
0.333 0.667 0.667 La
0.667 0.333 0.333 La
0.000 0.000 0.500 Cl
0.333 0.667 0.167 Cl
0.667 0.333 0.833 Cl
```

Values from the calculation:
E_form (uncorrected): -3.53 eV per formula unit
final energy: -2.0072 Ry per atom
SG: R-3m, No. 166

Entry 3:
Here is a crystal of Ba2SrTaIn relaxed with PBEsol from Alexandria. Energies are from meta-GGA SCAN.

```
Ba2SrTaIn
1.0
6.195 0.000 0.000
0.000 6.195 0.000
0.000 0.000 5.155
Ba Sr Ta In
2 1 1 1
Direct
0.000 0.500 0.000 Ba
0.500 0.000 0.000 Ba
0.000 0.000 0.000 Sr
0.000 0.000 0.500 Ta
0.500 0.500 0.500 In
```

Values from the calculation:
final energy: -2.8557 Ry per atom
SG: P4/mmm, No. 123
DFT formation energy: 1.42 eV per atom